# Sc2TiNi

Crystalline Sc2TiNi at its relaxed geometry (PBE-GGA, the Alexandria database).

The structure belongs to space group R-3m (No. 166, hexagonal axes); the cell edges are 3.0302, 3.0302 and 28.9396 Å and the angles 90.00°, 90.00° and 120.00°. The distinct sites, in fractional coordinates, are Sc at (0.0000, 0.0000, 0.0993), Ti at (0.0000, 0.0000, 0.0000) and Ni at (0.0000, 0.0000, 0.5000).

As for the formation energy from the elements: 4.80 kcal/mol of atoms.

---

# Ba2Cu2GeO6

Crystalline Ba2Cu2GeO6 at its relaxed geometry (PBE-GGA, the Alexandria database).

The structure belongs to space group R-3m (No. 166, hexagonal axes); the cell edges are 5.8368, 5.8368 and 16.1126 Å and the angles 90.00°, 90.00° and 120.00°. The distinct sites, in fractional coordinates, are Ba at (0.0000, 0.0000, 0.2224), Cu at (0.0000, 0.0000, 0.4119), Ge at (0.0000, 0.0000, 0.0000) and O at (0.0355, 0.5178, 0.7431).

---

# BaSb4Pb

Crystalline BaSb4Pb at its relaxed geometry (PBE-GGA, the Alexandria database).

The structure belongs to space group F-43m (No. 216); the cell edges are 9.144, 9.144 and 9.144 Å and the angles 90.00°, 90.00° and 90.00°. The distinct sites, in fractional coordinates, are Ba at (0.000, 0.000, 0.000), Sb at (0.123, 0.123, 0.377) and Pb at (0.250, 0.250, 0.750).

---

no.,uncorrected energy (eV/f.u.)
1,-25.51
2,-63.89
3,-23.38